Here is crystalline NbAlRe at its relaxed geometry from Alexandria via LeMat-Bulk. Energies are from GGA-PBE.

As for the space group: I4mm. Its crystal system is tetragonal. For the density of states at the Fermi level, the calculation gives 3.16 states/eV/cell.

Structure (POSCAR):
```
NbAlRe
1.0
-0.3003 1.3566 -2.9610
2.5586 -1.7417 -1.0574
-3.9032 -3.1294 0.7686
Re Nb Al
1 1 1
Direct
0.6685 0.6685 0.3370
0.3243 0.3243 0.6485
0.0073 0.0073 0.0145
```

---

Here is crystalline Cs2PrTmO4 at its relaxed geometry from Alexandria via LeMat-Bulk. Energies are from GGA-PBE.

As for the space group: P2/m. Its crystal system is monoclinic. For the density of states at the Fermi level, the calculation gives 0.00 states/eV/cell. The formation energy from raw total energies comes out at -2.553 eV per atom.

Structure (POSCAR):
```
Cs2PrTmO4
1.0
3.6224 0.0000 0.0000
0.0000 6.2733 0.1032
0.0000 -2.1918 6.8809
O Pr Tm Cs
4 1 1 2
Direct
0.5000 0.2084 0.1654
0.0000 0.2622 0.8332
0.5000 0.7916 0.8346
0.0000 0.7378 0.1668
0.5000 0.5000 0.0000
0.0000 0.0000 0.0000
0.0000 0.5000 0.5000
0.5000 0.0000 0.5000
```

---

Here is crystalline Nd4ScIn2 at its relaxed geometry from Alexandria via LeMat-Bulk. Energies are from GGA-PBE.

As for the space group: I4/mmm. Its crystal system is tetragonal. For the density of states at the Fermi level, the calculation gives 10.38 states/eV/cell.

Structure (POSCAR):
```
Nd4ScIn2
1.0
5.5912 0.0003 -1.6886
-0.5105 5.5676 -1.6894
-0.7168 -0.7866 7.7206
Nd Sc In
4 1 2
Direct
0.0000 0.5000 0.0000
0.5000 0.0000 0.0000
0.2500 0.7500 0.5000
0.7500 0.2500 0.5000
0.0000 0.0000 0.0000
0.6214 0.6215 0.2430
0.3786 0.3785 0.7570
```

---

Here is crystalline LaNi3 at its relaxed geometry from Alexandria via LeMat-Bulk. Energies are from GGA-PBE.

As for the space group: Pnma. Its crystal system is orthorhombic. For the density of states at the Fermi level, the calculation gives 17.59 states/eV/cell.

Structure (POSCAR):
```
LaNi3
1.0
7.2825 0.0000 0.0000
0.0000 6.6762 0.0000
0.0000 0.0000 5.3258
Ni La
12 4
Direct
0.8414 0.5606 0.0849
0.1586 0.4394 0.9151
0.6586 0.0606 0.5849
0.6260 0.7500 0.3441
0.6586 0.4394 0.5849
0.3414 0.9394 0.4151
0.1260 0.7500 0.1559
0.8740 0.2500 0.8441
0.3414 0.5606 0.4151
0.8414 0.9394 0.0849
0.1586 0.0606 0.9151
0.3740 0.2500 0.6559
0.9646 0.7500 0.6270
0.5354 0.2500 0.1270
0.4646 0.7500 0.8730
0.0354 0.2500 0.3730
```

---

Here is crystalline La2BeCr at its relaxed geometry from Alexandria via LeMat-Bulk. Energies are from GGA-PBE.

As for the space group: I-42d. Its crystal system is tetragonal. For the density of states at the Fermi level, the calculation gives 9.28 states/eV/cell.

Structure (POSCAR):
```
La2BeCr
1.0
-1.8865 6.4317 -4.5479
2.7841 -3.8303 -6.5717
-2.3226 0.1371 -6.0557
Cr Be La
2 2 4
Direct
0.7500 0.2500 0.5000
0.0000 0.0000 0.0000
0.2500 0.7500 0.5000
0.5000 0.5000 0.0000
0.8750 0.8643 0.7500
0.3750 0.3857 0.7500
0.1357 0.6250 0.2500
0.6143 0.1250 0.2500
```

---

Here is crystalline Nd8Tm2Th3 at its relaxed geometry from Alexandria via LeMat-Bulk. Energies are from GGA-PBE.

As for the space group: C2/m. Its crystal system is monoclinic. For the density of states at the Fermi level, the calculation gives 20.36 states/eV/cell.

Structure (POSCAR):
```
Nd8Tm2Th3
1.0
9.0138 -1.1394 -5.1251
-1.9331 9.4384 -5.4983
-3.5074 -1.9324 9.1059
Tm Nd Th
2 8 3
Direct
0.5741 0.8102 0.6203
0.4259 0.1898 0.3797
0.6417 0.2368 0.9604
0.8355 0.7477 0.4954
0.6417 0.7235 0.9604
0.0092 0.6129 0.2258
0.9908 0.3871 0.7742
0.3583 0.7632 0.0396
0.1645 0.2523 0.5046
0.3583 0.2765 0.0396
0.0000 0.7639 0.0000
0.5000 0.0000 0.0000
0.0000 0.2361 0.0000
```

---

Here is crystalline Tl5InSb2 at its relaxed geometry from Alexandria via LeMat-Bulk. Energies are from GGA-PBE.

As for the space group: Pbam. Its crystal system is orthorhombic. For the density of states at the Fermi level, the calculation gives 5.89 states/eV/cell. The formation energy from raw total energies comes out at 0.003 eV per atom.

Structure (POSCAR):
```
Tl5InSb2
1.0
-2.6148 3.7954 -1.2911
-3.7471 -4.0952 -4.4498
-9.2545 -2.8367 10.4037
Tl Sb In
10 4 2
Direct
0.0000 0.0000 0.0000
0.0000 0.0135 0.2511
0.0000 0.5135 0.2489
0.5000 0.7595 0.1259
0.5000 0.7405 0.6259
0.0000 0.4865 0.7511
0.0000 0.9865 0.7489
0.5000 0.2595 0.3741
0.5000 0.2405 0.8741
0.0000 0.5000 0.5000
0.5000 0.2310 0.6154
0.5000 0.7310 0.8846
0.5000 0.2690 0.1154
0.5000 0.7690 0.3846
0.0000 0.0000 0.5000
0.0000 0.5000 0.0000
```

---

Here is crystalline CuIrPt2 at its relaxed geometry from Alexandria via LeMat-Bulk. Energies are from GGA-PBE.

As for the space group: Cmm2. Its crystal system is orthorhombic. For the density of states at the Fermi level, the calculation gives 5.27 states/eV/cell.

Structure (POSCAR):
```
CuIrPt2
1.0
-1.1578 -2.1580 -1.1923
1.3235 -0.2916 2.3626
-7.8719 1.6730 4.6162
Cu Ir Pt
1 1 2
Direct
0.0000 0.0000 0.5029
0.5000 0.5000 0.7381
0.5000 0.5000 0.2635
0.0000 0.0000 0.9955
```

---

Here is crystalline PuCuS2 at its relaxed geometry from Alexandria via LeMat-Bulk. Energies are from GGA-PBE.

As for the space group: R-3m. Its crystal system is trigonal. For the density of states at the Fermi level, the calculation gives 6.38 states/eV/cell. The formation energy from raw total energies comes out at -1.040 eV per atom.

Structure (POSCAR):
```
PuCuS2
1.0
-0.7940 -0.5612 -4.0718
3.0273 -1.3519 -2.5560
-1.1271 -7.2383 -0.9346
Pu S Cu
1 2 1
Direct
0.5000 0.5000 0.5000
0.8983 0.8983 0.3051
0.1017 0.1017 0.6949
0.0000 0.0000 0.0000
```

---

Here is crystalline LiAc2AlHg6 at its relaxed geometry from Alexandria via LeMat-Bulk. Energies are from GGA-PBE.

As for the space group: P-1. Its crystal system is triclinic. For the density of states at the Fermi level, the calculation gives 6.65 states/eV/cell.

Structure (POSCAR):
```
LiAc2AlHg6
1.0
-3.2856 5.2684 -3.5626
-4.0851 1.4014 5.9186
-0.2187 6.6894 2.8075
Al Hg Li Ac
1 6 1 2
Direct
0.0000 0.0000 0.0000
0.3281 0.3366 0.8471
0.3298 0.1740 0.4897
0.6702 0.8260 0.5103
0.6719 0.6634 0.1529
0.6699 0.1832 0.9955
0.3301 0.8168 0.0045
0.5000 0.5000 0.0000
0.8795 0.2915 0.4165
0.1205 0.7085 0.5835
```

---

Here is crystalline NaMg2Bi at its relaxed geometry from Alexandria via LeMat-Bulk. Energies are from GGA-PBE.

As for the space group: P4/nmm. Its crystal system is tetragonal. For the density of states at the Fermi level, the calculation gives 1.05 states/eV/cell.

Structure (POSCAR):
```
NaMg2Bi
1.0
4.6217 0.0000 0.0000
0.0000 4.6217 0.0000
0.0000 0.0000 11.0454
Bi Mg Na
2 4 2
Direct
0.0000 0.5000 0.3286
0.5000 0.0000 0.6714
0.5000 0.0000 0.9518
0.0000 0.0000 0.5000
0.5000 0.5000 0.5000
0.0000 0.5000 0.0482
0.5000 0.0000 0.2414
0.0000 0.5000 0.7586
```

---

Here is crystalline Zn3AsPb at its relaxed geometry from Alexandria via LeMat-Bulk. Energies are from GGA-PBE.

As for the space group: Pm-3m. Its crystal system is cubic. For the density of states at the Fermi level, the calculation gives 3.69 states/eV/cell.

Structure (POSCAR):
```
Zn3AsPb
1.0
4.9473 0.0000 0.0000
0.0000 4.9473 0.0000
0.0000 0.0000 4.9473
Pb Zn As
1 3 1
Direct
0.5000 0.5000 0.5000
0.0000 0.5000 0.0000
0.5000 0.0000 0.0000
0.0000 0.0000 0.5000
0.0000 0.0000 0.0000
```

---

Here is crystalline CdIrRh2N at its relaxed geometry from Alexandria via LeMat-Bulk. Energies are from GGA-PBE.

As for the space group: P4/mmm. Its crystal system is tetragonal. For the density of states at the Fermi level, the calculation gives 4.05 states/eV/cell. The formation energy from raw total energies comes out at 0.172 eV per atom.

Structure (POSCAR):
```
CdIrRh2N
1.0
4.2251 0.0000 0.0000
0.0000 4.2251 0.0000
0.0000 0.0000 3.9697
Cd Ir Rh N
1 1 2 1
Direct
0.5000 0.5000 0.5000
0.0000 0.0000 0.5000
0.5000 0.0000 0.0000
0.0000 0.5000 0.0000
0.0000 0.0000 0.0000
```

---

Here is crystalline Ca2TlZn2Pd5 at its relaxed geometry from Alexandria via LeMat-Bulk. Energies are from GGA-PBE.

As for the space group: P4/mbm. Its crystal system is tetragonal. For the density of states at the Fermi level, the calculation gives 9.62 states/eV/cell.

Structure (POSCAR):
```
Ca2TlZn2Pd5
1.0
3.8241 0.0000 0.0000
0.0000 9.8393 0.0000
0.0000 0.0000 9.8393
Zn Pd Ca Tl
4 10 4 2
Direct
0.0000 0.1212 0.6212
0.0000 0.6212 0.8788
0.0000 0.3788 0.1212
0.0000 0.8788 0.3788
0.5000 0.5000 0.0000
0.5000 0.5683 0.7099
0.5000 0.2099 0.0683
0.5000 0.0000 0.5000
0.5000 0.9317 0.2099
0.5000 0.0683 0.7901
0.5000 0.2901 0.5683
0.5000 0.7099 0.4317
0.5000 0.7901 0.9317
0.5000 0.4317 0.2901
0.0000 0.1760 0.3240
0.0000 0.3240 0.8240
0.0000 0.6760 0.1760
0.0000 0.8240 0.6760
0.0000 0.0000 0.0000
0.0000 0.5000 0.5000
```

---

Here is crystalline Ta2CuTe at its relaxed geometry from Alexandria via LeMat-Bulk. Energies are from GGA-PBE.

As for the space group: I4/mmm. Its crystal system is tetragonal. For the density of states at the Fermi level, the calculation gives 3.11 states/eV/cell. The formation energy from raw total energies comes out at 0.345 eV per atom.

Structure (POSCAR):
```
Ta2CuTe
1.0
-0.9559 -2.0810 4.6444
-3.9765 -3.3160 -0.0811
4.2727 0.5466 -2.8741
Te Ta Cu
1 2 1
Direct
0.2500 0.7500 0.5000
0.0000 0.0000 0.0000
0.5000 0.5000 0.0000
0.7500 0.2500 0.5000
```

---

Here is crystalline Tb2NdDy2Tm at its relaxed geometry from Alexandria via LeMat-Bulk. Energies are from GGA-PBE.

As for the space group: Pnnm. Its crystal system is orthorhombic. For the density of states at the Fermi level, the calculation gives 18.54 states/eV/cell.

Structure (POSCAR):
```
Tb2NdDy2Tm
1.0
-4.8881 -2.7324 0.2397
4.7510 -8.3330 1.8957
-0.4037 1.3201 6.8144
Dy Tm Nd Tb
4 2 2 4
Direct
0.0000 0.6667 0.2485
0.5000 0.1667 0.2515
0.5000 0.8333 0.7485
0.0000 0.3333 0.7515
0.5000 0.5000 0.0000
0.0000 0.0000 0.5000
0.0000 0.0000 0.0000
0.5000 0.5000 0.5000
0.0000 0.6666 0.7515
0.5000 0.8334 0.2515
0.0000 0.3334 0.2485
0.5000 0.1666 0.7485
```

---

Here is crystalline Na2CdCl4O3 at its relaxed geometry from Alexandria via LeMat-Bulk. Energies are from GGA-PBE.

As for the space group: C2/m. Its crystal system is monoclinic. The formation energy from raw total energies comes out at -0.867 eV per atom.

Structure (POSCAR):
```
Na2CdCl4O3
1.0
3.8572 7.1627 -0.6132
-3.8572 7.1627 -0.6132
0.0000 4.7406 7.5233
Cl O Na Cd
8 6 4 2
Direct
0.6328 0.1044 0.1897
0.8956 0.3672 0.8103
0.1044 0.6328 0.1897
0.3672 0.8956 0.8103
0.3958 0.3958 0.8363
0.6042 0.6042 0.1637
0.9057 0.9057 0.7735
0.0943 0.0943 0.2265
0.3420 0.3420 0.5216
0.5311 0.2468 0.5225
0.4689 0.7532 0.4775
0.7532 0.4689 0.4775
0.2468 0.5311 0.5225
0.6580 0.6580 0.4784
0.5000 0.0000 0.0000
0.0000 0.5000 0.0000
0.1165 0.1165 0.5371
0.8835 0.8835 0.4629
0.5000 0.5000 0.0000
0.0000 0.0000 0.0000
```

---

Here is crystalline Li2Ag2Hg5 at its relaxed geometry from Alexandria via LeMat-Bulk. Energies are from GGA-PBE.

As for the space group: Cmce. Its crystal system is orthorhombic. For the density of states at the Fermi level, the calculation gives 7.71 states/eV/cell.

Structure (POSCAR):
```
Li2Ag2Hg5
1.0
7.5329 0.0000 0.0000
0.0000 6.5326 -3.3582
0.0000 -0.0428 7.9497
Hg Ag Li
10 4 4
Direct
0.8290 0.5176 0.7049
0.3290 0.6874 0.7049
0.1710 0.4824 0.2951
0.8290 0.8126 0.2951
0.1710 0.1874 0.7049
0.6710 0.0176 0.7049
0.0000 0.0000 0.0000
0.5000 0.5000 0.0000
0.6710 0.3126 0.2951
0.3290 0.9824 0.2951
0.3665 0.1331 0.0000
0.6335 0.8669 0.0000
0.8665 0.3669 0.0000
0.1335 0.6331 0.0000
0.0000 0.2037 0.4075
0.0000 0.7963 0.5925
0.5000 0.2963 0.5925
0.5000 0.7037 0.4075
```

---

Here is crystalline ZrW3C at its relaxed geometry from Alexandria via LeMat-Bulk. Energies are from GGA-PBE.

As for the space group: Pm-3m. Its crystal system is cubic. For the density of states at the Fermi level, the calculation gives 5.12 states/eV/cell.

Structure (POSCAR):
```
ZrW3C
1.0
4.2572 0.0000 0.0000
0.0000 4.2572 0.0000
0.0000 0.0000 4.2572
C W Zr
1 3 1
Direct
0.0000 0.0000 0.0000
0.0000 0.0000 0.5000
0.0000 0.5000 0.0000
0.5000 0.0000 0.0000
0.5000 0.5000 0.5000
```

---

Here is crystalline Pm3GdF at its relaxed geometry from Alexandria via LeMat-Bulk. Energies are from GGA-PBE.

As for the space group: Pm-3m. Its crystal system is cubic. For the density of states at the Fermi level, the calculation gives 4.79 states/eV/cell. The formation energy from raw total energies comes out at -0.971 eV per atom.

Structure (POSCAR):
```
Pm3GdF
1.0
-2.3836 -4.5610 -0.3171
2.7506 -1.1449 -4.2081
3.6521 -2.1146 2.9625
Pm Gd F
3 1 1
Direct
0.0000 0.5000 0.0000
0.5000 0.0000 0.0000
0.0000 0.0000 0.5000
0.5000 0.5000 0.5000
0.0000 0.0000 0.0000
```

---

| no. | uncorrected energy (eV/atom) |
| --- | --- |
| 1 | -8.9884 |
| 2 | -6.4018 |
| 3 | -4.3191 |
| 4 | -5.8302 |
| 5 | -5.0707 |
| 6 | -5.1000 |
| 7 | -2.8490 |
| 8 | -6.1636 |
| 9 | -7.7111 |
| 10 | -1.8364 |
| 11 | -2.2601 |
| 12 | -2.0855 |
| 13 | -6.3885 |
| 14 | -4.0740 |
| 15 | -7.3909 |
| 16 | -4.5501 |
| 17 | -3.4482 |
| 18 | -1.2853 |
| 19 | -11.2192 |
| 20 | -7.0120 |